This record from Alexandria describes a geometry-optimized NaLi2CoO4 structure. The functional is PBE with a Hubbard U.

It has space group I-42m (No. 121), with a = 5.1851 Å, b = 5.1851 Å, c = 6.7944 Å, α = 90.00°, β = 90.00° and γ = 90.00°. The asymmetric unit holds Na at (0.0000, 0.0000, 0.0000), Li at (0.0000, 0.5000, 0.2500), Co at (0.0000, 0.0000, 0.5000) and O at (0.2058, 0.2058, 0.6277).

The value obtained for the total moment is 0.500 μB per atom. The total energy comes out at -5.055 eV per atom.